Below is a relaxed Ti6BeBi2 crystal, with properties calculated at the PBE level. Values from VASP.

Cell and atoms, written as Quantum ESPRESSO input:
```
&SYSTEM
  ibrav = 0, nat = 18, ntyp = 3
/
ATOMIC_SPECIES
Ti 47.87 Ti.upf
Be 9.01 Be.upf
Bi 208.98 Bi.upf
CELL_PARAMETERS angstrom
4.639 0.000 0.000
0.000 4.639 0.000
0.000 0.000 17.515
ATOMIC_POSITIONS crystal
Ti 0.182 0.182 0.000
Ti 0.236 0.236 0.395
Ti 0.236 0.236 0.605
Ti 0.264 0.736 0.105
Ti 0.264 0.736 0.895
Ti 0.318 0.682 0.500
Ti 0.682 0.318 0.500
Ti 0.736 0.264 0.105
Ti 0.736 0.264 0.895
Ti 0.764 0.764 0.395
Ti 0.764 0.764 0.605
Ti 0.818 0.818 0.000
Be 0.000 0.000 0.500
Be 0.500 0.500 0.000
Bi 0.000 0.000 0.246
Bi 0.000 0.000 0.754
Bi 0.500 0.500 0.254
Bi 0.500 0.500 0.746
```

## Properties
Relative energy among the computed polymorphs: 590 meV per atom
SG: No. 136


Below is a relaxed Ti8BeBi2 crystal, with properties calculated at the PBE level. Values from VASP.

Cell and atoms, written as Quantum ESPRESSO input:
```
&SYSTEM
  ibrav = 0, nat = 11, ntyp = 3
/
ATOMIC_SPECIES
Ti 47.87 Ti.upf
Be 9.01 Be.upf
Bi 208.98 Bi.upf
CELL_PARAMETERS angstrom
8.237 -2.353 0.000
8.237 2.353 0.000
-1.754 0.000 5.133
ATOMIC_POSITIONS crystal
Ti 0.003 0.003 0.246
Ti 0.230 0.230 0.336
Ti 0.355 0.355 0.944
Ti 0.418 0.418 0.522
Ti 0.582 0.582 0.478
Ti 0.645 0.645 0.056
Ti 0.770 0.770 0.664
Ti 0.997 0.997 0.754
Be 0.500 0.500 0.000
Bi 0.168 0.168 0.758
Bi 0.832 0.832 0.242
```

## Properties
SG: No. 12


Below is a relaxed TiBeBi2 crystal, with properties calculated at the PBE level. Values from VASP.

Cell and atoms, written as Quantum ESPRESSO input:
```
&SYSTEM
  ibrav = 0, nat = 8, ntyp = 3
/
ATOMIC_SPECIES
Ti 47.87 Ti.upf
Be 9.01 Be.upf
Bi 208.98 Bi.upf
CELL_PARAMETERS angstrom
-3.134 3.134 5.971
3.134 -3.134 5.971
3.134 3.134 -5.971
ATOMIC_POSITIONS crystal
Ti 0.000 0.000 0.000
Ti 0.750 0.250 0.500
Be 0.250 0.750 0.500
Be 0.500 0.500 0.000
Bi 0.153 0.625 0.028
Bi 0.375 0.403 0.528
Bi 0.597 0.125 0.972
Bi 0.875 0.847 0.472
```

## Properties
SG: No. 122


Below is a relaxed Ti4BeBi2 crystal, with properties calculated at the PBE level. Values from VASP.

Cell and atoms, written as Quantum ESPRESSO input:
```
&SYSTEM
  ibrav = 0, nat = 14, ntyp = 3
/
ATOMIC_SPECIES
Ti 47.87 Ti.upf
Be 9.01 Be.upf
Bi 208.98 Bi.upf
CELL_PARAMETERS angstrom
-5.271 5.271 2.446
5.271 -5.271 2.446
5.271 5.271 -2.446
ATOMIC_POSITIONS crystal
Ti 0.077 0.808 0.885
Ti 0.192 0.077 0.270
Ti 0.308 0.577 0.885
Ti 0.423 0.308 0.730
Ti 0.577 0.692 0.270
Ti 0.692 0.423 0.115
Ti 0.808 0.923 0.730
Ti 0.923 0.192 0.115
Be 0.250 0.250 0.000
Be 0.750 0.750 0.000
Bi 0.141 0.359 0.500
Bi 0.359 0.859 0.218
Bi 0.641 0.141 0.782
Bi 0.859 0.641 0.500
```

## Properties
SG: No. 140


Below is a relaxed TiBe3Bi crystal, with properties calculated at the PBE level. Values from VASP.

Cell and atoms, written as Quantum ESPRESSO input:
```
&SYSTEM
  ibrav = 0, nat = 5, ntyp = 3
/
ATOMIC_SPECIES
Ti 47.87 Ti.upf
Be 9.01 Be.upf
Bi 208.98 Bi.upf
CELL_PARAMETERS angstrom
4.560 0.000 0.000
0.000 4.560 0.000
0.000 0.000 4.560
ATOMIC_POSITIONS crystal
Ti 0.000 0.000 0.000
Be 0.000 0.000 0.500
Be 0.000 0.500 0.000
Be 0.500 0.000 0.000
Bi 0.500 0.500 0.500
```

## Properties
Relative energy among the computed polymorphs: 0 meV per atom
SG: No. 221


Below is a relaxed TiBeBi crystal, with properties calculated at the PBE level. Values from VASP.

Cell and atoms, written as Quantum ESPRESSO input:
```
&SYSTEM
  ibrav = 0, nat = 6, ntyp = 3
/
ATOMIC_SPECIES
Ti 47.87 Ti.upf
Be 9.01 Be.upf
Bi 208.98 Bi.upf
CELL_PARAMETERS angstrom
3.564 0.000 0.000
0.000 3.385 0.000
-0.022 0.000 10.185
ATOMIC_POSITIONS crystal
Ti 0.001 0.250 0.117
Ti 0.999 0.750 0.883
Be 0.500 0.250 0.942
Be 0.500 0.750 0.058
Bi 0.498 0.250 0.688
Bi 0.502 0.750 0.312
```

## Properties
SG: No. 11


Below is a relaxed Ti12BeBi6 crystal, with properties calculated at the PBE level. Values from VASP.

Cell and atoms, written as Quantum ESPRESSO input:
```
&SYSTEM
  ibrav = 0, nat = 19, ntyp = 3
/
ATOMIC_SPECIES
Ti 47.87 Ti.upf
Be 9.01 Be.upf
Bi 208.98 Bi.upf
CELL_PARAMETERS angstrom
5.811 3.355 3.474
-5.811 3.355 3.474
0.000 -6.710 3.474
ATOMIC_POSITIONS crystal
Ti 0.043 0.313 0.062
Ti 0.062 0.043 0.313
Ti 0.227 0.410 0.501
Ti 0.313 0.062 0.043
Ti 0.410 0.501 0.227
Ti 0.499 0.773 0.590
Ti 0.501 0.227 0.410
Ti 0.590 0.499 0.773
Ti 0.687 0.938 0.957
Ti 0.773 0.590 0.499
Ti 0.938 0.957 0.687
Ti 0.957 0.687 0.938
Be 0.000 0.000 0.000
Bi 0.104 0.681 0.330
Bi 0.319 0.670 0.896
Bi 0.330 0.104 0.681
Bi 0.670 0.896 0.319
Bi 0.681 0.330 0.104
Bi 0.896 0.319 0.670
```

## Properties
SG: No. 148


Below is a relaxed Ti6BeBi3 crystal, with properties calculated at the PBE level. Values from VASP.

Cell and atoms, written as Quantum ESPRESSO input:
```
&SYSTEM
  ibrav = 0, nat = 20, ntyp = 3
/
ATOMIC_SPECIES
Ti 47.87 Ti.upf
Be 9.01 Be.upf
Bi 208.98 Bi.upf
CELL_PARAMETERS angstrom
10.202 0.000 0.000
0.000 3.751 0.000
-4.542 0.000 10.397
ATOMIC_POSITIONS crystal
Ti 0.050 0.250 0.433
Ti 0.137 0.750 0.103
Ti 0.269 0.250 0.989
Ti 0.357 0.250 0.248
Ti 0.434 0.750 0.894
Ti 0.448 0.250 0.585
Ti 0.552 0.750 0.415
Ti 0.566 0.250 0.106
Ti 0.643 0.750 0.752
Ti 0.731 0.750 0.011
Ti 0.863 0.250 0.897
Ti 0.950 0.750 0.567
Be 0.408 0.750 0.128
Be 0.592 0.250 0.872
Bi 0.040 0.750 0.835
Bi 0.231 0.250 0.694
Bi 0.258 0.750 0.403
Bi 0.742 0.250 0.597
Bi 0.769 0.750 0.306
Bi 0.960 0.250 0.165
```

## Properties
SG: No. 11


Below is a relaxed Ti3BeBi crystal, with properties calculated at the PBE level. Values from VASP.

Cell and atoms, written as Quantum ESPRESSO input:
```
&SYSTEM
  ibrav = 0, nat = 10, ntyp = 3
/
ATOMIC_SPECIES
Ti 47.87 Ti.upf
Be 9.01 Be.upf
Bi 208.98 Bi.upf
CELL_PARAMETERS angstrom
6.213 0.000 0.000
-3.106 5.380 0.000
0.000 0.000 5.139
ATOMIC_POSITIONS crystal
Ti 0.177 0.354 0.250
Ti 0.177 0.823 0.250
Ti 0.354 0.177 0.750
Ti 0.646 0.823 0.250
Ti 0.823 0.177 0.750
Ti 0.823 0.646 0.750
Be 0.000 0.000 0.000
Be 0.000 0.000 0.500
Bi 0.333 0.667 0.750
Bi 0.667 0.333 0.250
```

## Properties
Relative energy among the computed polymorphs: 0 meV per atom
SG: No. 194


Below is a relaxed BeTl2Bi crystal, with properties calculated at the PBE level. Values from VASP.

Cell and atoms, written as Quantum ESPRESSO input:
```
&SYSTEM
  ibrav = 0, nat = 8, ntyp = 3
/
ATOMIC_SPECIES
Be 9.01 Be.upf
Tl 204.38 Tl.upf
Bi 208.98 Bi.upf
CELL_PARAMETERS angstrom
-4.750 4.750 2.523
4.750 -4.750 2.523
4.750 4.750 -2.523
ATOMIC_POSITIONS crystal
Be 0.000 0.000 0.000
Be 0.750 0.250 0.500
Tl 0.018 0.625 0.893
Tl 0.375 0.268 0.393
Tl 0.732 0.125 0.107
Tl 0.875 0.982 0.607
Bi 0.250 0.750 0.500
Bi 0.500 0.500 0.000
```

## Properties
Relative energy among the computed polymorphs: 0 meV per atom
SG: No. 122


Below is a relaxed Be3TlBi crystal, with properties calculated at the PBE level. Values from VASP.

Cell and atoms, written as Quantum ESPRESSO input:
```
&SYSTEM
  ibrav = 0, nat = 5, ntyp = 3
/
ATOMIC_SPECIES
Be 9.01 Be.upf
Tl 204.38 Tl.upf
Bi 208.98 Bi.upf
CELL_PARAMETERS angstrom
4.663 0.000 0.000
0.000 4.663 0.000
0.000 0.000 4.663
ATOMIC_POSITIONS crystal
Be 0.000 0.000 0.500
Be 0.000 0.500 0.000
Be 0.500 0.000 0.000
Tl 0.000 0.000 0.000
Bi 0.500 0.500 0.500
```

## Properties
Relative energy among the computed polymorphs: 0 meV per atom
SG: No. 221


Below is a relaxed Be3TlBi crystal, with properties calculated at the PBE level. Values from VASP.

Cell and atoms, written as Quantum ESPRESSO input:
```
&SYSTEM
  ibrav = 0, nat = 5, ntyp = 3
/
ATOMIC_SPECIES
Be 9.01 Be.upf
Tl 204.38 Tl.upf
Bi 208.98 Bi.upf
CELL_PARAMETERS angstrom
4.940 0.000 0.000
0.000 4.940 0.000
0.000 0.000 4.940
ATOMIC_POSITIONS crystal
Be 0.000 0.000 0.500
Be 0.000 0.500 0.000
Be 0.500 0.000 0.000
Tl 0.500 0.500 0.500
Bi 0.000 0.000 0.000
```

## Properties
Relative energy among the computed polymorphs: 165 meV per atom
SG: No. 221


Below is a relaxed BeTlBi2 crystal, with properties calculated at the PBE level. Values from VASP.

Cell and atoms, written as Quantum ESPRESSO input:
```
&SYSTEM
  ibrav = 0, nat = 8, ntyp = 3
/
ATOMIC_SPECIES
Be 9.01 Be.upf
Tl 204.38 Tl.upf
Bi 208.98 Bi.upf
CELL_PARAMETERS angstrom
-2.984 2.984 7.444
2.984 -2.984 7.444
2.984 2.984 -7.444
ATOMIC_POSITIONS crystal
Be 0.000 0.000 0.000
Be 0.750 0.250 0.500
Tl 0.250 0.750 0.500
Tl 0.500 0.500 0.000
Bi 0.014 0.625 0.889
Bi 0.375 0.264 0.389
Bi 0.736 0.125 0.111
Bi 0.875 0.986 0.611
```

## Properties
Relative energy among the computed polymorphs: 0 meV per atom
SG: No. 122


Below is a relaxed BeTlBi2 crystal, with properties calculated at the PBE level. Values from VASP.

Cell and atoms, written as Quantum ESPRESSO input:
```
&SYSTEM
  ibrav = 0, nat = 4, ntyp = 3
/
ATOMIC_SPECIES
Be 9.01 Be.upf
Tl 204.38 Tl.upf
Bi 208.98 Bi.upf
CELL_PARAMETERS angstrom
0.000 3.766 3.766
3.766 0.000 3.766
3.766 3.766 0.000
ATOMIC_POSITIONS crystal
Be 0.000 0.000 0.000
Tl 0.500 0.500 0.500
Bi 0.250 0.250 0.250
Bi 0.750 0.750 0.750
```

## Properties
Relative energy among the computed polymorphs: 250 meV per atom
SG: No. 225


Below is a relaxed BeTl2Bi crystal, with properties calculated at the PBE level. Values from VASP.

Cell and atoms, written as Quantum ESPRESSO input:
```
&SYSTEM
  ibrav = 0, nat = 4, ntyp = 3
/
ATOMIC_SPECIES
Be 9.01 Be.upf
Tl 204.38 Tl.upf
Bi 208.98 Bi.upf
CELL_PARAMETERS angstrom
0.000 3.806 3.806
3.806 0.000 3.806
3.806 3.806 0.000
ATOMIC_POSITIONS crystal
Be 0.000 0.000 0.000
Tl 0.250 0.250 0.250
Tl 0.750 0.750 0.750
Bi 0.500 0.500 0.500
```

## Properties
Relative energy among the computed polymorphs: 136 meV per atom
SG: No. 225


Below is a relaxed BeTl2Bi2 crystal, with properties calculated at the PBE level. Values from VASP.

Cell and atoms, written as Quantum ESPRESSO input:
```
&SYSTEM
  ibrav = 0, nat = 10, ntyp = 3
/
ATOMIC_SPECIES
Be 9.01 Be.upf
Tl 204.38 Tl.upf
Bi 208.98 Bi.upf
CELL_PARAMETERS angstrom
7.007 0.000 0.000
0.000 7.007 0.000
0.000 0.000 6.162
ATOMIC_POSITIONS crystal
Be 0.000 0.000 0.000
Be 0.500 0.500 0.000
Tl 0.174 0.326 0.500
Tl 0.326 0.826 0.500
Tl 0.674 0.174 0.500
Tl 0.826 0.674 0.500
Bi 0.156 0.656 0.000
Bi 0.344 0.156 0.000
Bi 0.656 0.844 0.000
Bi 0.844 0.344 0.000
```

## Properties
SG: No. 127


Below is a relaxed ZrBeTl2Bi crystal, with properties calculated at the PBE level. Values from VASP.

Cell and atoms, written as Quantum ESPRESSO input:
```
&SYSTEM
  ibrav = 0, nat = 5, ntyp = 4
/
ATOMIC_SPECIES
Zr 91.22 Zr.upf
Be 9.01 Be.upf
Tl 204.38 Tl.upf
Bi 208.98 Bi.upf
CELL_PARAMETERS angstrom
4.803 0.000 0.000
0.000 4.803 0.000
0.000 0.000 5.263
ATOMIC_POSITIONS crystal
Zr 0.000 0.000 0.000
Be 0.000 0.000 0.500
Tl 0.000 0.500 0.500
Tl 0.500 0.000 0.500
Bi 0.500 0.500 0.000
```

## Properties
SG: No. 123


Below is a relaxed Tm3BeBi crystal, with properties calculated at the PBE level. Values from VASP.

Cell and atoms, written as Quantum ESPRESSO input:
```
&SYSTEM
  ibrav = 0, nat = 5, ntyp = 3
/
ATOMIC_SPECIES
Tm 168.93 Tm.upf
Be 9.01 Be.upf
Bi 208.98 Bi.upf
CELL_PARAMETERS angstrom
5.119 0.000 0.000
0.000 5.119 0.000
0.000 0.000 5.119
ATOMIC_POSITIONS crystal
Tm 0.000 0.000 0.500
Tm 0.000 0.500 0.000
Tm 0.500 0.000 0.000
Be 0.000 0.000 0.000
Bi 0.500 0.500 0.500
```

## Properties
SG: No. 221


Below is a relaxed Tm8BeBi2 crystal, with properties calculated at the PBE level. Values from VASP.

Cell and atoms, written as Quantum ESPRESSO input:
```
&SYSTEM
  ibrav = 0, nat = 11, ntyp = 3
/
ATOMIC_SPECIES
Tm 168.93 Tm.upf
Be 9.01 Be.upf
Bi 208.98 Bi.upf
CELL_PARAMETERS angstrom
8.988 -2.515 0.000
8.988 2.515 0.000
-0.305 0.000 6.695
ATOMIC_POSITIONS crystal
Tm 0.026 0.026 0.265
Tm 0.215 0.215 0.139
Tm 0.353 0.353 0.593
Tm 0.411 0.411 0.080
Tm 0.589 0.589 0.920
Tm 0.647 0.647 0.407
Tm 0.785 0.785 0.861
Tm 0.974 0.974 0.735
Be 0.500 0.500 0.500
Bi 0.171 0.171 0.674
Bi 0.829 0.829 0.326
```

## Properties
SG: No. 12


Below is a relaxed BeV2Bi2 crystal, with properties calculated at the PBE level. Values from VASP.

Cell and atoms, written as Quantum ESPRESSO input:
```
&SYSTEM
  ibrav = 0, nat = 5, ntyp = 3
/
ATOMIC_SPECIES
Be 9.01 Be.upf
V 50.94 V.upf
Bi 208.98 Bi.upf
CELL_PARAMETERS angstrom
-2.309 2.309 5.299
2.309 -2.309 5.299
2.309 2.309 -5.299
ATOMIC_POSITIONS crystal
Be 0.000 0.000 0.000
V 0.413 0.413 0.000
V 0.587 0.587 0.000
Bi 0.250 0.750 0.500
Bi 0.750 0.250 0.500
```

## Properties
Relative energy among the computed polymorphs: 458 meV per atom
SG: No. 139


Respective raw total energy values: -6.132; -6.742; -4.365; -6.352; -3.293; -5.363; -6.277; -6.298; -6.258; -2.658; -2.345; -2.180; -3.144; -2.894; -2.522; -2.998; -3.851; -4.368; -4.489; -4.961 eV per atom.
Respective formation energy values: 0.407; 0.044; 0.481; -0.200; 1.298; -0.196; 0.131; -0.024; 0.000; 0.427; 1.140; 1.305; 0.320; 0.570; 0.563; 0.247; 0.327; -0.163; -0.193; 0.984 eV/atom.